# 1
Density functional theory data (PBE-GGA) for an optimized crystal structure of Ti4Al3Tc.

## Properties
The crystal system is tetragonal. The value obtained for the total energy is -7.0475 eV per atom. The space-group type is P4/mmm (123). For the formation energy, the calculation gives -401 meV/atom.

Cell: 3.147 3.147 12.869 Å, 90.00 90.00 90.00°
Atoms (fractional coordinates):
Ti: 0.000 0.000 0.112
Ti: 0.000 0.000 0.369
Ti: 0.000 0.000 0.631
Ti: 0.000 0.000 0.888
Al: 0.500 0.500 0.239
Al: 0.500 0.500 0.500
Al: 0.500 0.500 0.761
Tc: 0.500 0.500 0.000

# 2
Density functional theory data (PBE-GGA) for an optimized crystal structure of Sm12Er3Al.

## Properties
The crystal system is tetragonal. The value obtained for the total energy is -4.6462 eV per atom. The space-group type is P4/mmm (123). For the formation energy, the calculation gives -17 meV/atom.

Cell: 5.010 5.010 20.296 Å, 90.00 90.00 90.00°
Atoms (fractional coordinates):
Sm: 0.000 0.000 0.000
Sm: 0.000 0.000 0.244
Sm: 0.000 0.000 0.500
Sm: 0.000 0.000 0.756
Sm: 0.000 0.500 0.118
Sm: 0.000 0.500 0.372
Sm: 0.000 0.500 0.628
Sm: 0.000 0.500 0.882
Sm: 0.500 0.000 0.118
Sm: 0.500 0.000 0.372
Sm: 0.500 0.000 0.628
Sm: 0.500 0.000 0.882
Er: 0.500 0.500 0.246
Er: 0.500 0.500 0.500
Er: 0.500 0.500 0.754
Al: 0.500 0.500 0.000

# 3
Density functional theory data (PBE-GGA) for an optimized crystal structure of RbAg2Br.

## Properties
The crystal system is tetragonal. The value obtained for the total energy is -2.2729 eV per atom. The space-group type is I4_1/amd (141). The calculation puts the energy above the most stable polymorph in this dataset at 0.00 eV per formula unit. As for the uncorrected formation energy: -0.75 eV/f.u.

Cell: 5.262 5.262 22.969 Å, 90.00 90.00 90.00°
Atoms (fractional coordinates):
Rb: 0.000 0.250 0.375
Rb: 0.000 0.750 0.625
Rb: 0.500 0.250 0.125
Rb: 0.500 0.750 0.875
Ag: 0.000 0.000 0.000
Ag: 0.000 0.500 0.000
Ag: 0.250 0.250 0.750
Ag: 0.250 0.750 0.250
Ag: 0.500 0.000 0.500
Ag: 0.500 0.500 0.500
Ag: 0.750 0.250 0.750
Ag: 0.750 0.750 0.250
Br: 0.000 0.250 0.875
Br: 0.000 0.750 0.125
Br: 0.500 0.250 0.625
Br: 0.500 0.750 0.375

# 4
Density functional theory data (PBE-GGA) for an optimized crystal structure of Li4PuMg.

## Properties
The crystal system is cubic. The value obtained for the total energy is -3.7340 eV per atom. The space-group type is F-43m (216). For the formation energy, the calculation gives 196 meV/atom.

Cell: 5.697 5.697 5.697 Å, 60.00 60.00 60.00°
Atoms (fractional coordinates):
Li: 0.376 0.376 0.376
Li: 0.376 0.376 0.871
Li: 0.376 0.871 0.376
Li: 0.871 0.376 0.376
Pu: 0.000 0.000 0.000
Mg: 0.750 0.750 0.750

# 5
Density functional theory data (PBE-GGA) for an optimized crystal structure of SrMg2Co.

## Properties
The crystal system is orthorhombic. The value obtained for the total energy is -2.4311 eV per atom. The space-group type is Cmmm (65). For the formation energy, the calculation gives 563 meV/atom.

Cell: 5.999 10.113 3.168 Å, 90.00 90.00 90.00°
Atoms (fractional coordinates):
Sr: 0.000 0.000 0.000
Sr: 0.500 0.500 0.000
Mg: 0.250 0.250 0.500
Mg: 0.250 0.750 0.500
Mg: 0.750 0.250 0.500
Mg: 0.750 0.750 0.500
Co: 0.000 0.500 0.000
Co: 0.500 0.000 0.000

# 6
Density functional theory data (PBE-GGA) for an optimized crystal structure of CuPdCl5.

## Properties
The crystal system is monoclinic. The value obtained for the total energy is -3.0479 eV per atom. The space-group type is C2/c (15). As for the uncorrected formation energy: -2.81 eV/f.u.

Cell: 6.583 6.583 9.215 Å, 109.32 109.32 92.58°
Atoms (fractional coordinates):
Cu: 0.133 0.867 0.750
Cu: 0.867 0.133 0.250
Pd: 0.500 0.500 0.000
Pd: 0.500 0.500 0.500
Cl: 0.171 0.236 0.851
Cl: 0.221 0.710 0.527
Cl: 0.236 0.171 0.351
Cl: 0.290 0.779 0.973
Cl: 0.417 0.583 0.250
Cl: 0.583 0.417 0.750
Cl: 0.710 0.221 0.027
Cl: 0.764 0.829 0.649
Cl: 0.779 0.290 0.473
Cl: 0.829 0.764 0.149

# 7
Density functional theory data (PBE-GGA) for an optimized crystal structure of P3W.

## Properties
The crystal system is hexagonal. The value obtained for the total energy is -6.7578 eV per atom. The space-group type is P6_3/mmc (194). The calculation puts the energy above the most stable polymorph in this dataset at 2.75 eV per formula unit. For the formation energy, the calculation gives 538 meV/atom.

Cell: 5.593 5.593 4.493 Å, 90.00 90.00 120.00°
Atoms (fractional coordinates):
P: 0.191 0.381 0.250
P: 0.191 0.809 0.250
P: 0.381 0.191 0.750
P: 0.619 0.809 0.250
P: 0.809 0.191 0.750
P: 0.809 0.619 0.750
W: 0.333 0.667 0.750
W: 0.667 0.333 0.250

# 8
Density functional theory data (PBE-GGA) for an optimized crystal structure of ZnIrW2.

## Properties
The crystal system is trigonal. The value obtained for the total energy is -8.9048 eV per atom. The space-group type is R3m (160). For the formation energy, the calculation gives 105 meV/atom.

Cell: 2.809 2.809 27.238 Å, 90.00 90.00 120.00°
Atoms (fractional coordinates):
Zn: 0.000 0.000 0.000
Zn: 0.333 0.667 0.667
Zn: 0.667 0.333 0.333
Ir: 0.000 0.000 0.748
Ir: 0.333 0.667 0.414
Ir: 0.667 0.333 0.081
W: 0.000 0.000 0.249
W: 0.000 0.000 0.493
W: 0.333 0.667 0.159
W: 0.333 0.667 0.916
W: 0.667 0.333 0.582
W: 0.667 0.333 0.826

Repeat the eighth record exactly.
Density functional theory data (PBE-GGA) for an optimized crystal structure of ZnIrW2.

## Properties
The crystal system is trigonal. The value obtained for the total energy is -8.9048 eV per atom. The space-group type is R3m (160). For the formation energy, the calculation gives 105 meV/atom.

Cell: 2.809 2.809 27.238 Å, 90.00 90.00 120.00°
Atoms (fractional coordinates):
Zn: 0.000 0.000 0.000
Zn: 0.333 0.667 0.667
Zn: 0.667 0.333 0.333
Ir: 0.000 0.000 0.748
Ir: 0.333 0.667 0.414
Ir: 0.667 0.333 0.081
W: 0.000 0.000 0.249
W: 0.000 0.000 0.493
W: 0.333 0.667 0.159
W: 0.333 0.667 0.916
W: 0.667 0.333 0.582
W: 0.667 0.333 0.826